# CuTePC PBE optimized geometry
# M_tot, μB/cell: 0.00
# DFT total energy, eV per atom: -4.76
# Raw formation energy, eV/atom: 0.703
# Relative energy among the computed polymorphs, eV/f.u.: 1.027
data_CuTePC
_chemical_formula_sum 'Cu2 Te2 P2 C2'
_cell_length_a 9.346
_cell_length_b 3.328
_cell_length_c 5.042
_cell_angle_alpha 90.00
_cell_angle_beta 95.67
_cell_angle_gamma 90.00
_symmetry_space_group_name_H-M 'C 1 m 1'
_symmetry_Int_Tables_number 8
loop_
_symmetry_equiv_pos_as_xyz
'x,y,z'
'x,-y,z'
'x+1/2,y+1/2,z'
'x+1/2,-y+1/2,z'
loop_
_atom_site_label
_atom_site_type_symbol
_atom_site_fract_x
_atom_site_fract_y
_atom_site_fract_z
Cu1 Cu 0.000 0.000 0.000
Te1 Te 0.288 0.500 0.386
P1 P 0.337 0.000 0.865
C1 C 0.206 0.000 0.097